DFT (PBE+U) results for a relaxed structure of VPdNF2.

The structure belongs to space group P4/mmm (No. 123); the cell edges are 4.539, 4.539 and 3.677 Å and the angles 90.00°, 90.00° and 90.00°. Symmetry generates all atoms from V at (0.000, 0.000, 0.000), Pd at (0.500, 0.500, 0.500), N at (0.500, 0.500, 0.000) and F at (0.000, 0.500, 0.500).

The total moment comes out at 3.619 μB/cell. For the total energy, the calculation gives -4.927 eV per atom. The value obtained for the energy above the most stable polymorph in this dataset is 0.735 eV per atom.